This record from Alexandria describes an optimized crystal structure of TaV2Hg2Se6. The functional is GGA-PBE.

Uncorrected formation energy (kcal/mol of atoms): -13.70

Cell and atoms, written as CIF:
```
data_TaV2Hg2Se6
_symmetry_space_group_name_H-M 'C 1 2/m 1'
_symmetry_Int_Tables_number 12
_symmetry_space_group_name_Hall '-C 2y'
_cell_length_a 5.916
_cell_length_b 10.378
_cell_length_c 9.717
_cell_angle_alpha 90.00
_cell_angle_beta 101.48
_cell_angle_gamma 90.00
loop_
_atom_site_label
_atom_site_type_symbol
_atom_site_fract_x
_atom_site_fract_y
_atom_site_fract_z
Ta1 Ta 0.000 0.000 0.000
V1 V 0.000 0.320 0.000
Hg1 Hg 0.000 0.162 0.500
Se1 Se 0.205 0.500 0.160
Se2 Se 0.228 0.169 0.170
```